! TaNb5Ru4 | the Alexandria database | PBE | relaxed; values from VASP
! DOS at the Fermi energy, states/eV/atom: 0.80
! Magnetic moment, Bohr magnetons per cell: 0.00
! Calculated formation energy, kJ/mol of formula units: -237
! Calculated volume, Å³/atom: 16.40
&SYSTEM
  ibrav = 0, nat = 10, ntyp = 3
/
ATOMIC_SPECIES
Nb 92.91 Nb.upf
Ta 180.95 Ta.upf
Ru 101.07 Ru.upf
ATOMIC_POSITIONS crystal
Nb 0.1003 0.4021 0.2004
Nb 0.3009 0.2011 0.6016
Nb 0.8997 0.5979 0.7996
Nb 0.6991 0.7989 0.3984
Nb 0.5000 0.5000 0.0000
Ta 0.5000 0.0000 0.0000
Ru 0.7010 0.2958 0.4022
Ru 0.8998 0.0912 0.7989
Ru 0.1002 0.9088 0.2011
Ru 0.2990 0.7042 0.5978
CELL_PARAMETERS angstrom
4.2781 -0.0007 -1.4666
-0.4925 5.3554 -1.4346
0.0582 -0.0109 7.1428